(1)
Below is a geometry-optimized AgTe2Br structure, with properties calculated at the PBEsol level.

```
4
Lattice="3.187 0.000 0.000 1.593 2.760 0.000 1.593 0.920 11.798" Properties=species:S:1:pos:R:3 pbc="T T T"
Te 1.593 0.920 9.148
Te 4.780 2.760 2.650
Br 3.187 1.840 5.899
Ag 0.000 0.000 0.000
```

Summary:
**Space group**: R-3m
**N(E_F)**: 2.41 states/eV per cell
**Spin magnetization**: 0.00 μB/f.u.
**VASP energy**: -0.212 Ry per atom


(2)
Below is a geometry-optimized BaTaTl2 structure, with properties calculated at the PBEsol level.

```
4
Lattice="3.695 0.000 0.000 0.000 3.695 0.000 0.000 0.000 7.730" Properties=species:S:1:pos:R:3 pbc="T T T"
Ba 1.848 1.848 0.000
Tl 0.000 0.000 5.375
Tl 0.000 0.000 2.356
Ta 1.848 1.848 3.865
```

Summary:
**Formation energy**: 0.333 eV per atom
**Space group**: P4/mmm
**N(E_F)**: 4.04 states/eV per cell
**Spin magnetization**: 0.77 μB/f.u.


(3)
Below is a geometry-optimized SmSiRu structure, with properties calculated at the PBEsol level.

```
6
Lattice="-0.903 0.607 4.021 -1.551 -3.858 0.234 6.054 -2.329 1.711" Properties=species:S:1:pos:R:3 pbc="T T T"
Ru -1.227 -1.626 2.127
Ru 0.000 0.000 0.000
Sm 1.178 -2.681 0.669
Sm 3.650 -1.275 3.169
Si 4.179 -3.836 1.517
Si 0.648 -0.120 2.321
```

Summary:
**Space group**: P4/nmm
**N(E_F)**: 5.04 states/eV per cell
**Spin magnetization**: 0.00 μB/f.u.
**VASP energy**: -0.574 Ry per atom


(4)
Below is a geometry-optimized LiAs4Pt structure, with properties calculated at the PBEsol level.

```
6
Lattice="-4.369 -0.006 -3.153 -1.419 -4.484 -2.628 -4.401 -2.723 1.499" Properties=species:S:1:pos:R:3 pbc="T T T"
Pt 0.000 0.000 0.000
As -4.533 -4.941 -2.916
As -6.017 -4.064 -0.862
As -6.001 -2.712 -3.178
As -3.827 -2.709 -1.608
Li -7.642 -5.410 -3.212
```

Summary:
**Formation energy**: 0.326 eV per atom
**Space group**: F-43m
**N(E_F)**: 4.45 states/eV per cell
**Spin magnetization**: 0.00 μB/f.u.